Record 1
DFT (PBE) results for DyHf4Os5 after structural relaxation.

The value obtained for the volume is 177 Å³ per cell. The calculation puts the calculated total energy at -10.65 eV per atom. The density of states at the Fermi level comes out at 2.229 states/eV/cell.

Geometry as POSCAR:
```
DyHf4Os5
1.0
3.271 0.000 0.000
0.000 3.271 0.000
0.000 0.000 16.550
Dy Hf Os
1 4 5
direct
0.000 0.000 0.000
0.000 0.000 0.204
0.000 0.000 0.401
0.000 0.000 0.599
0.000 0.000 0.796
0.500 0.500 0.113
0.500 0.500 0.306
0.500 0.500 0.500
0.500 0.500 0.694
0.500 0.500 0.887
```

Record 2
DFT (PBE) results for DyHfOs4 after structural relaxation.

The value obtained for the volume is 105 Å³ per cell. The calculation puts the calculated total energy at -10.19 eV per atom. The density of states at the Fermi level comes out at 5.148 states/eV/cell.

Geometry as POSCAR:
```
DyHfOs4
1.0
0.000 3.740 3.740
3.740 0.000 3.740
3.740 3.740 0.000
Dy Hf Os
1 1 4
direct
0.000 0.000 0.000
0.750 0.750 0.750
0.375 0.375 0.375
0.375 0.375 0.874
0.375 0.874 0.375
0.874 0.375 0.375
```

Record 3
DFT (PBE) results for DyHfOsPd after structural relaxation.

The value obtained for the volume is 76 Å³ per cell. The calculation puts the calculated total energy at -8.32 eV per atom. The density of states at the Fermi level comes out at 1.215 states/eV/cell.

Geometry as POSCAR:
```
DyHfOsPd
1.0
0.000 3.363 3.363
3.363 0.000 3.363
3.363 3.363 0.000
Dy Hf Os Pd
1 1 1 1
direct
0.000 0.000 0.000
0.500 0.500 0.500
0.250 0.250 0.250
0.750 0.750 0.750
```

Record 4
DFT (PBE) results for DyHfP2 after structural relaxation.

The value obtained for the volume is 81 Å³ per cell. The calculation puts the polymorph energy (0 for the lowest one) at 111 meV per atom. The calculation puts the calculated total energy at -7.68 eV per atom. The density of states at the Fermi level comes out at 2.446 states/eV/cell.

Geometry as POSCAR:
```
DyHfP2
1.0
1.886 1.089 6.614
-1.886 1.089 6.614
0.000 -2.178 6.614
Dy Hf P
1 1 2
direct
0.000 0.000 0.000
0.174 0.174 0.174
0.580 0.580 0.580
0.762 0.762 0.762
```

Record 5
DFT (PBE) results for DyHfP after structural relaxation.

The value obtained for the volume is 131 Å³ per cell. The calculation puts the calculated total energy at -7.32 eV per atom. The density of states at the Fermi level comes out at 5.261 states/eV/cell.

Geometry as POSCAR:
```
DyHfP
1.0
2.191 1.265 7.906
-2.191 1.265 7.906
0.000 -2.530 7.906
Dy Hf P
2 2 2
direct
0.124 0.124 0.124
0.876 0.876 0.876
0.372 0.372 0.372
0.628 0.628 0.628
0.260 0.260 0.260
0.740 0.740 0.740
```

Record 6
DFT (PBE) results for Dy2HfP3 after structural relaxation.

The value obtained for the volume is 125 Å³ per cell. The calculation puts the calculated total energy at -7.37 eV per atom. The density of states at the Fermi level comes out at 1.425 states/eV/cell.

Geometry as POSCAR:
```
Dy2HfP3
1.0
-1.951 1.951 8.230
1.951 -1.951 8.230
1.951 1.951 -8.230
Dy Hf P
2 1 3
direct
0.167 0.167 0.000
0.833 0.833 0.000
0.500 0.500 0.000
0.000 0.000 0.000
0.339 0.339 0.000
0.661 0.661 0.000
```

Record 7
DFT (PBE) results for Dy5HfP6 after structural relaxation.

The value obtained for the volume is 261 Å³ per cell. The calculation puts the calculated total energy at -7.02 eV per atom. The density of states at the Fermi level comes out at 2.500 states/eV/cell.

Geometry as POSCAR:
```
Dy5HfP6
1.0
3.419 -5.917 0.000
3.419 5.917 0.000
-2.282 0.000 6.446
Dy Hf P
5 1 6
direct
0.000 0.000 0.000
0.166 0.834 0.500
0.331 0.669 0.000
0.669 0.331 0.000
0.834 0.166 0.500
0.500 0.500 0.500
0.098 0.420 0.258
0.260 0.260 0.744
0.420 0.098 0.258
0.580 0.902 0.742
0.740 0.740 0.256
0.902 0.580 0.742
```

Record 8
DFT (PBE) results for DyHfP2 after structural relaxation.

The value obtained for the volume is 80 Å³ per cell. The calculation puts the polymorph energy (0 for the lowest one) at 0 meV per atom. The calculation puts the calculated total energy at -7.80 eV per atom. The density of states at the Fermi level comes out at 1.427 states/eV/cell.

Geometry as POSCAR:
```
DyHfP2
1.0
3.312 -1.909 0.000
3.312 1.909 0.000
-2.193 0.000 6.333
Dy Hf P
1 1 2
direct
0.000 0.000 0.000
0.500 0.500 0.500
0.244 0.244 0.732
0.756 0.756 0.268
```

Number 1: calculated density 17.1 g/cm³, formation energy from the elements -58 kJ per mole of atoms. Number 2: calculated density 17.5 g/cm³, formation energy from the elements -27 kJ per mole of atoms. Number 3: calculated density 13.9 g/cm³, formation energy from the elements -56 kJ per mole of atoms. Number 4: calculated density 8.2 g/cm³, formation energy from the elements -129 kJ per mole of atoms. Number 5: calculated density 9.4 g/cm³, formation energy from the elements -64 kJ per mole of atoms. Number 6: calculated density 7.9 g/cm³, formation energy from the elements -142 kJ per mole of atoms. Number 7: calculated density 7.5 g/cm³, formation energy from the elements -151 kJ per mole of atoms. Number 8: calculated density 8.4 g/cm³, formation energy from the elements -140 kJ per mole of atoms.